Na5LiFe2P2C2O14 GGA+U optimized geometry; energy above the lowest structure with this stoichiometry = 5.3 kJ per mole of atoms; electronic total energy = -6.45 eV/atom
1.0
5.2228 0.0000 0.0000
0.0194 6.7482 0.0000
0.5101 0.0015 8.8506
Na Li Fe P C O
5 1 2 2 2 14
Cartesian
0.0000 0.0000 0.0000
0.0141 3.4842 0.0064
2.6671 5.1248 1.6860
3.0151 3.3710 4.7765
3.0194 0.1318 4.7852
0.4469 1.7477 3.3610
0.5448 5.1186 5.4353
3.0015 1.7472 8.1945
3.2860 5.1204 7.5786
5.4844 1.7456 6.0345
3.1159 1.7467 1.9999
5.2708 5.1190 2.9315
0.6176 0.5144 5.1409
0.6237 2.9756 5.1421
1.0310 1.7435 7.3765
1.2424 5.1098 3.4614
1.8256 1.7445 1.8269
2.5096 5.1233 6.2478
2.9325 3.8730 8.4565
2.9435 6.3710 8.4570
3.6492 1.7496 3.1786
3.9503 1.7502 6.3194
3.8994 1.7459 0.9476
4.2554 5.1273 3.7491
4.8246 5.1130 7.2904
5.1045 5.1198 1.6548